Density functional theory data (PBE-GGA) for a relaxed structure of Pr5Sm4In4.

Results
ΔH_f (0 K) in kcal/mol of atoms: -7.09
Space group: I4/m, No. 87

a b c (Å): 5.2200 9.2989 9.2989
angles (deg): 85.48 73.70 73.70
With the nearest neighbours (Å) after each atom.
Fractional positions:
Pr 0.6912 0.9063 0.7113  3 In 3.30-3.31, 2 Sm 3.60
Pr 0.3088 0.0937 0.2887  3 In 3.30-3.31, 2 Sm 3.60
Pr 0.0000 0.0000 0.0000  4 In 3.26
Pr 0.5975 0.7113 0.0937  3 In 3.30-3.31, 2 Sm 3.60
Pr 0.4025 0.2887 0.9063  3 In 3.30-3.31, 2 Sm 3.60
Sm 0.9057 0.4824 0.7062  3 In 3.20-3.39
Sm 0.6119 0.2938 0.4824  3 In 3.20-3.39
Sm 0.0943 0.5176 0.2938  3 In 3.20-3.39
Sm 0.3881 0.7062 0.5176  3 In 3.20-3.39
In 0.7654 0.3423 0.1268  3 Sm 3.20-3.39, 4 Pr 3.26-3.31
In 0.2346 0.6577 0.8732  3 Sm 3.20-3.39, 4 Pr 3.26-3.31
In 0.8922 0.8732 0.3423  3 Sm 3.20-3.39, 4 Pr 3.26-3.31
In 0.1078 0.1268 0.6577  3 Sm 3.20-3.39, 4 Pr 3.26-3.31

***

Density functional theory data (PBE-GGA) for a relaxed structure of BeAsBr2F.

Results
Space group: P4/mmm, No. 123
ΔE_f (raw) in meV per atom: 412
Relative energy among the computed polymorphs in kJ per mole of atoms: 38.9

a b c (Å): 5.5859 5.5859 3.8574
angles (deg): 90.00 90.00 90.00
With the nearest neighbours (Å) after each atom.
Fractional positions:
Be 0.5000 0.5000 0.5000  8 Br 3.39
As 0.0000 0.0000 0.5000  2 F 1.93
Br 0.0000 0.5000 0.0000  2 F 2.79
Br 0.5000 0.0000 0.0000  2 F 2.79
F 0.0000 0.0000 0.0000  2 As 1.93

***

Density functional theory data (PBE-GGA) for a relaxed structure of LiMnIr.

Results
ΔH_f (0 K) in kcal/mol of atoms: 1.83
Space group: I4mm, No. 107
Relative energy among the computed polymorphs in kJ per mole of atoms: 14.5

a b c (Å): 4.8196 4.8196 4.8196
angles (deg): 145.48 145.48 49.62
With the nearest neighbours (Å) after each atom.
Fractional positions:
Ir 0.0034 0.0034 0.0000  4 Mn 2.48, 4 Li 2.53
Li 0.3298 0.3298 0.0000  4 Mn 2.47, 4 Ir 2.53
Mn 0.6668 0.6668 0.0000  4 Li 2.47, 4 Ir 2.48

***

Density functional theory data (PBE-GGA) for a relaxed structure of HfGeP2O.

Results
Space group: P4/mmm, No. 123
ΔE_f (raw) in meV per atom: -439
Relative energy among the computed polymorphs in kJ per mole of atoms: 0.0

a b c (Å): 5.1313 5.1313 3.9296
angles (deg): 90.00 90.00 90.00
With the nearest neighbours (Å) after each atom.
Fractional positions:
P 0.0000 0.5000 0.0000  2 Hf 2.57
P 0.5000 0.0000 0.0000  2 Hf 2.57
Ge 0.5000 0.5000 0.5000  8 P 3.23
Hf 0.0000 0.0000 0.0000  2 O 1.96
O 0.0000 0.0000 0.5000  2 Hf 1.96

***

Density functional theory data (PBE-GGA) for a relaxed structure of CaPd2Pt2.

Results
ΔH_f (0 K) in kcal/mol of atoms: -7.20
Space group: I4/mmm, No. 139
Relative energy among the computed polymorphs in kJ per mole of atoms: 4.1

a b c (Å): 3.9840 3.9840 6.7348
angles (deg): 72.80 72.80 90.00
With the nearest neighbours (Å) after each atom.
Fractional positions:
Ca 0.0000 0.0000 0.0000  8 Pt 3.08
Pd 0.7500 0.2500 0.5000  4 Pt 2.70, 4 Pd 2.82
Pd 0.2500 0.7500 0.5000  4 Pt 2.70, 4 Pd 2.82
Pt 0.3985 0.3985 0.2030  1 Pt 2.48, 4 Pd 2.70
Pt 0.6015 0.6015 0.7970  1 Pt 2.48, 4 Pd 2.70

***

Density functional theory data (PBE-GGA) for a relaxed structure of CaLaBiO2.

Results
Space group: I4mm, No. 107
ΔE_f (raw) in meV per atom: -2341

a b c (Å): 4.0304 4.0304 8.2303
angles (deg): 104.17 104.17 90.00
With the nearest neighbours (Å) after each atom.
Fractional positions:
Ca 0.8198 0.8198 0.6395  4 O 2.28
La 0.1809 0.1809 0.3618  4 O 2.29
Bi 0.4974 0.4974 0.9948  4 Ca 3.96, 4 La 4.02, 4 Bi 4.03, 8 O 4.31-4.40
O 0.7510 0.2510 0.5019  2 Ca 2.28, 2 La 2.29
O 0.2510 0.7510 0.5019  2 Ca 2.28, 2 La 2.29

***

Density functional theory data (PBE-GGA) for a relaxed structure of Tb2Mg3Ag4.

Results
ΔH_f (0 K) in kcal/mol of atoms: -5.51
Space group: P-1, No. 2
Relative energy among the computed polymorphs in kJ per mole of atoms: 0.0

a b c (Å): 4.9054 4.8890 9.4712
angles (deg): 90.19 89.79 60.00
With the nearest neighbours (Å) after each atom.
Fractional positions:
Tb 0.3351 0.3316 0.7803  7 Ag 3.00-3.11
Tb 0.6649 0.6684 0.2197  7 Ag 3.00-3.11
Mg 0.3311 0.3356 0.4207  4 Ag 2.89-3.06, 3 Mg 3.18-3.22
Mg 0.0000 0.0000 0.0000  6 Ag 2.97-2.98
Mg 0.6689 0.6644 0.5793  4 Ag 2.89-3.06, 3 Mg 3.18-3.22
Ag 0.6677 0.6657 0.9028  4 Mg 2.97-3.06, 4 Tb 3.00-3.06
Ag 0.9962 0.0037 0.3540  1 Ag 2.77, 3 Mg 2.89-2.90, 1 Tb 3.09
Ag 0.0038 0.9963 0.6460  1 Ag 2.77, 3 Mg 2.89-2.90, 1 Tb 3.09
Ag 0.3323 0.3343 0.0972  4 Mg 2.97-3.06, 4 Tb 3.00-3.06

***

Density functional theory data (PBE-GGA) for a relaxed structure of FeHg2Ru.

Results
ΔH_f (0 K) in kcal/mol of atoms: 7.89
Space group: P4mm, No. 99
Relative energy among the computed polymorphs in kJ per mole of atoms: 0.9

a b c (Å): 2.9610 2.9610 7.9878
angles (deg): 90.00 90.00 90.00
With the nearest neighbours (Å) after each atom.
Fractional positions:
Fe 0.5000 0.5000 0.7126  4 Ru 2.48
Hg 0.0000 0.0000 0.9580  4 Fe 2.87, 4 Hg 2.96
Hg 0.5000 0.5000 0.2831  4 Hg 2.96, 4 Ru 2.97
Ru 0.0000 0.0000 0.5462  4 Fe 2.48

***

Density functional theory data (PBE-GGA) for a relaxed structure of BiPtI.

Results
Space group: Pnma, No. 62
ΔE_f (raw) in meV per atom: -258
Relative energy among the computed polymorphs in kJ per mole of atoms: 2.7

a b c (Å): 4.0887 7.2349 12.7689
angles (deg): 90.00 90.00 90.00
With the nearest neighbours (Å) after each atom.
Fractional positions:
Pt 0.2501 0.8350 0.8650  3 Bi 2.73-2.77, 3 I 2.87-2.89
Pt 0.7501 0.6650 0.1350  3 Bi 2.73-2.77, 3 I 2.87-2.89
Pt 0.7499 0.3350 0.6350  3 Bi 2.73-2.77, 3 I 2.87-2.89
Pt 0.2499 0.1650 0.3650  3 Bi 2.73-2.77, 3 I 2.87-2.89
I 0.7499 0.3009 0.2279  3 Pt 2.87-2.89
I 0.2499 0.1991 0.7721  3 Pt 2.87-2.89
I 0.2501 0.8009 0.2721  3 Pt 2.87-2.89
I 0.7501 0.6991 0.7279  3 Pt 2.87-2.89
Bi 0.7501 0.9512 0.9959  3 Pt 2.73-2.77
Bi 0.2501 0.5488 0.0041  3 Pt 2.73-2.77
Bi 0.2499 0.4512 0.5041  3 Pt 2.73-2.77
Bi 0.7499 0.0488 0.4959  3 Pt 2.73-2.77

***

Density functional theory data (PBE-GGA) for a relaxed structure of YCd2W.

Results
ΔH_f (0 K) in kcal/mol of atoms: 14.58
Space group: F-43m, No. 216
Relative energy among the computed polymorphs in kJ per mole of atoms: 31.0

a b c (Å): 5.0031 5.0031 5.0031
angles (deg): 60.00 60.00 60.00
With the nearest neighbours (Å) after each atom.
Fractional positions:
Cd 0.0000 0.0000 0.0000  4 Cd 3.06, 4 Y 3.06
Cd 0.7500 0.7500 0.7500  4 W 3.06, 4 Cd 3.06
W 0.5000 0.5000 0.5000  4 Cd 3.06, 4 Y 3.06
Y 0.2500 0.2500 0.2500  4 Cd 3.06, 4 W 3.06

***

Density functional theory data (PBE-GGA) for a relaxed structure of Li12Zn3Hg.

Results
ΔH_f (0 K) in kcal/mol of atoms: -3.06
Space group: P4/mmm, No. 123

a b c (Å): 4.1584 4.1584 15.6682
angles (deg): 90.00 90.00 90.00
With the nearest neighbours (Å) after each atom.
Fractional positions:
Li 0.5000 0.5000 0.0000  8 Li 2.90, 4 Hg 2.94
Li 0.5000 0.5000 0.2536  8 Li 2.84-2.85, 4 Zn 2.94
Li 0.5000 0.5000 0.5000  8 Li 2.83, 4 Zn 2.94
Li 0.5000 0.5000 0.7464  8 Li 2.84-2.85, 4 Zn 2.94
Li 0.5000 0.0000 0.1292  8 Li 2.85-2.94, 2 Zn 2.86, 2 Hg 2.90
Li 0.5000 0.0000 0.3770  4 Zn 2.83, 8 Li 2.83-2.94
Li 0.5000 0.0000 0.6230  4 Zn 2.83, 8 Li 2.83-2.94
Li 0.5000 0.0000 0.8708  8 Li 2.85-2.94, 2 Zn 2.86, 2 Hg 2.90
Li 0.0000 0.5000 0.1292  8 Li 2.85-2.94, 2 Zn 2.86, 2 Hg 2.90
Li 0.0000 0.5000 0.3770  4 Zn 2.83, 8 Li 2.83-2.94
Li 0.0000 0.5000 0.6230  4 Zn 2.83, 8 Li 2.83-2.94
Li 0.0000 0.5000 0.8708  8 Li 2.85-2.94, 2 Zn 2.86, 2 Hg 2.90
Zn 0.0000 0.0000 0.2543  12 Li 2.83-2.94
Zn 0.0000 0.0000 0.5000  12 Li 2.83-2.94
Zn 0.0000 0.0000 0.7457  12 Li 2.83-2.94
Hg 0.0000 0.0000 0.0000  12 Li 2.90-2.94

***

Density functional theory data (PBE-GGA) for a relaxed structure of Hf2Sc2Al3.

Results
ΔH_f (0 K) in kcal/mol of atoms: -5.00
Space group: Cmmm, No. 65
Relative energy among the computed polymorphs in kJ per mole of atoms: 3.9

a b c (Å): 4.3477 3.0027 10.8389
angles (deg): 90.00 78.43 90.00
With the nearest neighbours (Å) after each atom.
Fractional positions:
Hf 0.7060 0.5000 0.5879  1 Sc 2.87, 4 Hf 2.87-3.00, 4 Al 2.92
Hf 0.2940 0.5000 0.4121  1 Sc 2.87, 4 Hf 2.87-3.00, 4 Al 2.92
Sc 0.5711 0.5000 0.8578  1 Hf 2.87, 3 Sc 3.00-3.02, 8 Al 3.04-3.10
Sc 0.4289 0.5000 0.1422  1 Hf 2.87, 3 Sc 3.00-3.02, 8 Al 3.04-3.10
Al 0.8529 0.0000 0.2942  4 Hf 2.92, 3 Al 3.00-3.12, 4 Sc 3.10
Al 0.0000 0.0000 0.0000  4 Al 3.00-3.12, 8 Sc 3.04
Al 0.1471 0.0000 0.7058  4 Hf 2.92, 3 Al 3.00-3.12, 4 Sc 3.10

***

| no. | VASP energy (eV per formula unit) |
| --- | --- |
| 1 | -57.7 |
| 2 | -11.5 |
| 3 | -19.7 |
| 4 | -32.5 |
| 5 | -26.0 |
| 6 | -32.4 |
| 7 | -27.6 |
| 8 | -17.0 |
| 9 | -12.2 |
| 10 | -18.7 |
| 11 | -29.2 |
| 12 | -45.3 |